[1]
Entry from Alexandria: a relaxed RbTcOs crystal (GGA-PBE).

Computed properties:
Space-group type: P3m1, No. 156

a b c (Å): 4.0609 4.0609 6.0342
angles (deg): 90.00 90.00 120.00
Last column: nearest neighbours and their distance in Å.
Atoms (fractional coordinates):
Os1 0.6667 0.3333 0.2101  3 Tc 2.37
Tc1 0.0000 0.0000 0.2623  3 Os 2.37
Rb1 0.3333 0.6667 0.7394  6 Os 3.68-3.96, 6 Tc 3.71-3.93, 6 Rb 4.06

[2]
Entry from Alexandria: a relaxed ThScZn2Au4 crystal (GGA-PBE).

Computed properties:
Space-group type: R-3m, No. 166

a b c (Å): 4.6156 4.6156 9.0456
angles (deg): 75.22 75.22 60.00
Last column: nearest neighbours and their distance in Å.
Atoms (fractional coordinates):
Au1 0.3913 0.3913 0.8262  1 Sc 2.82, 3 Zn 2.83, 3 Th 3.06
Au2 0.1249 0.1249 0.6254  4 Zn 2.78-2.95, 3 Sc 2.88
Au3 0.8751 0.8751 0.3746  4 Zn 2.78-2.95, 3 Sc 2.88
Au4 0.6087 0.6087 0.1738  1 Sc 2.82, 3 Zn 2.83, 3 Th 3.06
Sc1 0.5000 0.5000 0.5000  8 Au 2.82-2.88
Zn1 0.2385 0.2385 0.2846  7 Au 2.78-2.95
Zn2 0.7615 0.7615 0.7154  7 Au 2.78-2.95
Th1 0.0000 0.0000 0.0000  8 Au 3.06-3.24

[3]
Entry from Alexandria: a relaxed Ga8Pt2Rh crystal (GGA-PBE).

Computed properties:
Space-group type: C2/m, No. 12

a b c (Å): 3.2746 6.1014 9.7482
angles (deg): 102.94 99.67 90.00
Last column: nearest neighbours and their distance in Å.
Atoms (fractional coordinates):
Ga1 0.5973 0.3544 0.1946  1 Rh 2.52, 2 Pt 2.57, 1 Ga 2.70
Ga2 0.6417 0.9650 0.2834  2 Pt 2.63, 5 Ga 2.70-2.83, 1 Rh 2.78
Ga3 0.3583 0.0350 0.7166  2 Pt 2.63, 5 Ga 2.70-2.83, 1 Rh 2.78
Ga4 0.9683 0.2856 0.9367  2 Rh 2.56, 3 Ga 2.62-2.83, 1 Pt 2.68
Ga5 0.7746 0.7072 0.5492  3 Pt 2.62-2.70, 2 Ga 2.79
Ga6 0.2254 0.2928 0.4508  3 Pt 2.62-2.70, 2 Ga 2.79
Ga7 0.0317 0.7144 0.0634  2 Rh 2.56, 3 Ga 2.62-2.83, 1 Pt 2.68
Ga8 0.4027 0.6456 0.8054  1 Rh 2.52, 2 Pt 2.57, 1 Ga 2.70
Rh1 0.5000 0.0000 0.0000  8 Ga 2.52-2.78
Pt1 0.1655 0.6525 0.3310  8 Ga 2.57-2.70
Pt2 0.8345 0.3475 0.6690  8 Ga 2.57-2.70

[4]
Entry from Alexandria: a relaxed Ac2GdRu crystal (GGA-PBE).

Computed properties:
Space-group type: R-3m, No. 166

a b c (Å): 4.1101 4.1101 10.0022
angles (deg): 78.14 78.14 60.00
Last column: nearest neighbours and their distance in Å.
Atoms (fractional coordinates):
Ru1 0.0000 0.0000 0.0000  6 Ac 2.91
Ac1 0.7243 0.7243 0.8272  3 Ru 2.91
Ac2 0.2757 0.2757 0.1728  3 Ru 2.91
Gd1 0.5000 0.5000 0.5000  6 Ac 3.97, 6 Gd 4.11

Number 1: formation energy 1.115 eV per atom, size of the total moment 0.000 μB/f.u., uncorrected energy -6.406 eV per atom. Number 2: formation energy -0.579 eV per atom, size of the total moment 0.000 μB/f.u., uncorrected energy -4.256 eV per atom. Number 3: formation energy -0.422 eV per atom, size of the total moment 0.000 μB/f.u., uncorrected energy -4.390 eV per atom. Number 4: formation energy 0.045 eV per atom, size of the total moment 8.034 μB/f.u., uncorrected energy -7.849 eV per atom.